Record 1
Li2Ti3NbO8 at its PBEsol-relaxed geometry, computed with SCAN.

Cell lengths 8.451, 8.451, 8.451 Å; angles 90.00, 90.00, 90.00 degrees
Positions (direct):
Li 0.497 0.497 0.497
Li 0.753 0.753 0.753
Li 0.747 0.247 0.253
Li 0.003 0.503 0.997
Li 0.997 0.003 0.503
Li 0.253 0.747 0.247
Li 0.247 0.253 0.747
Li 0.503 0.997 0.003
Ti 0.624 0.626 0.125
Ti 0.625 0.876 0.374
Ti 0.626 0.125 0.624
Ti 0.874 0.875 0.124
Ti 0.875 0.124 0.874
Ti 0.876 0.374 0.625
Ti 0.124 0.874 0.875
Ti 0.125 0.624 0.626
Ti 0.126 0.375 0.376
Ti 0.374 0.625 0.876
Ti 0.375 0.376 0.126
Ti 0.376 0.126 0.375
Nb 0.625 0.375 0.875
Nb 0.875 0.625 0.375
Nb 0.125 0.125 0.125
Nb 0.375 0.875 0.625
O 0.611 0.620 0.888
O 0.612 0.389 0.120
O 0.612 0.112 0.388
O 0.630 0.639 0.362
O 0.620 0.888 0.611
O 0.638 0.862 0.138
O 0.638 0.130 0.861
O 0.639 0.362 0.630
O 0.861 0.638 0.130
O 0.862 0.870 0.361
O 0.862 0.138 0.638
O 0.880 0.112 0.111
O 0.870 0.361 0.862
O 0.888 0.888 0.888
O 0.888 0.611 0.620
O 0.889 0.380 0.388
O 0.111 0.880 0.112
O 0.112 0.111 0.880
O 0.112 0.388 0.612
O 0.130 0.861 0.638
O 0.120 0.612 0.389
O 0.138 0.638 0.862
O 0.138 0.370 0.139
O 0.139 0.138 0.370
O 0.361 0.862 0.870
O 0.362 0.630 0.639
O 0.362 0.362 0.362
O 0.380 0.388 0.889
O 0.370 0.139 0.138
O 0.388 0.612 0.112
O 0.388 0.889 0.380
O 0.389 0.120 0.612

Computed properties:
Its spin magnetization is 0.0 μB per formula unit. The value obtained for the density of states at the Fermi level is 20.3 states/eV/cell. As for the total energy: -707.0 eV/cell. The calculation puts the formation energy from raw total energies at -282 kJ per mole of atoms. For the energy above the most stable polymorph in this dataset, the calculation gives 0.0 meV/atom.

Record 2
Li4Ti3Nb3V2O16 at its PBEsol-relaxed geometry, computed with SCAN.

Cell lengths 5.893, 5.932, 9.701 Å; angles 90.21, 90.00, 119.79 degrees
Last column: magnetic moment on the atom in μB.
Positions (direct):
Li 0.331 0.662 0.901  0.00
Li 0.991 0.982 0.994  0.00
Li 0.994 0.988 0.497  0.00
Li 0.668 0.337 0.390  0.00
Ti 0.169 0.830 0.215  0.01
Ti 0.661 0.830 0.215  0.01
Ti 0.834 0.669 0.718  0.33
Nb 0.168 0.337 0.213  0.00
Nb 0.360 0.172 0.712  0.22
Nb 0.812 0.172 0.712  0.22
V 0.331 0.662 0.483  2.05
V 0.667 0.334 0.985  2.09
O 0.167 0.832 0.600  -0.01
O 0.479 0.958 0.336  -0.01
O 0.337 0.675 0.102  0.00
O 0.995 0.989 0.316  0.00
O 0.999 0.997 0.814  0.01
O 0.665 0.832 0.600  -0.01
O 0.039 0.524 0.341  -0.01
O 0.485 0.524 0.341  -0.01
O 0.835 0.670 0.104  -0.01
O 0.166 0.332 0.594  -0.02
O 0.523 0.486 0.842  0.00
O 0.963 0.486 0.842  0.00
O 0.686 0.371 0.585  0.03
O 0.329 0.162 0.098  -0.01
O 0.511 0.022 0.857  0.03
O 0.833 0.162 0.098  -0.01

Computed properties:
Its spin magnetization is 5.4 μB per formula unit. The value obtained for the density of states at the Fermi level is 7.5 states/eV/cell. As for the total energy: -368.1 eV/cell. The calculation puts the formation energy from raw total energies at -263 kJ per mole of atoms.